Record 1
A plane-wave DFT calculation with GGA-PBE was carried out for an optimized crystal structure of LiIn3Hg2.

calculated formation energy	-0.590	eV/f.u.
D(E_F)	1.8	states/eV per cell

Unit cell a=4.143 b=4.706 c=7.810 alpha=80.54 beta=76.87 gamma=89.95
Space group P-1 (No. 2)
Unique sites:
Li (0.000, 0.000, 0.000)
In (0.145, 0.600, 0.663)
In (0.500, 0.500, 0.000)
Hg (0.381, 0.923, 0.284)

---

Record 2
A plane-wave DFT calculation with GGA-PBE was carried out for an optimized crystal structure of Y2InSe.

E_form (uncorrected)	-1.14	eV per atom
D(E_F)	7.1	states/eV per cell

Unit cell a=4.337 b=23.001 c=4.212 alpha=90.00 beta=90.00 gamma=90.00
Space group Cmcm (No. 63)
Unique sites:
Y (0.000, 0.070, 0.250)
Y (0.000, 0.317, 0.250)
In (0.000, 0.455, 0.250)
Se (0.000, 0.193, 0.250)

---

Record 3
A plane-wave DFT calculation with GGA-PBE was carried out for an optimized crystal structure of Tl2PCl.

E_form (uncorrected)	-0.06	eV per atom
D(E_F)	13.5	states/eV per cell

Unit cell a=6.626 b=6.626 c=13.622 alpha=90.00 beta=90.00 gamma=90.00
Space group I-42d (No. 122)
Unique sites:
Tl (0.214, 0.250, 0.125)
P (0.000, 0.000, 0.000)
Cl (0.000, 0.000, 0.500)

---

Record 4
A plane-wave DFT calculation with GGA-PBE was carried out for an optimized crystal structure of Ba2ZnAu.

calculated formation energy	-1.651	eV/f.u.
D(E_F)	3.5	states/eV per cell

Unit cell a=5.763 b=5.763 c=4.047 alpha=90.00 beta=90.00 gamma=90.00
Space group P4/mmm (No. 123)
Unique sites:
Ba (0.000, 0.500, 0.000)
Zn (0.000, 0.000, 0.500)
Au (0.500, 0.500, 0.500)